1.
# K4BaCd

Crystalline K4BaCd at its relaxed geometry (GGA-PBE, Alexandria via LeMat-Bulk).

- ΔE_f: 1.2 eV per formula unit
- Total magnetization: 0.00 Bohr magnetons per cell
- Space group: F-43m, No. 216

Unit cell a=8.0783 b=8.0783 c=8.0783 alpha=60.00 beta=60.00 gamma=60.00
Positions (direct):
1 K 0.3756 0.3756 0.3756
2 K 0.3756 0.3756 0.8731
3 K 0.3756 0.8731 0.3756
4 K 0.8731 0.3756 0.3756
5 Ba 0.0000 0.0000 0.0000
6 Cd 0.7500 0.7500 0.7500



2.
# KBa3Cd

Crystalline KBa3Cd at its relaxed geometry (GGA-PBE, Alexandria via LeMat-Bulk).

- ΔE_f: -0.1 eV per formula unit
- Total magnetization: 0.00 Bohr magnetons per cell
- Relative energy among the computed polymorphs: 0.0 meV per atom
- Space group: Pm-3m, No. 221

Unit cell a=6.8583 b=6.8583 c=6.8583 alpha=90.00 beta=90.00 gamma=90.00
Positions (direct):
1 K 0.0000 0.0000 0.0000
2 Ba 0.0000 0.5000 0.5000
3 Ba 0.5000 0.0000 0.5000
4 Ba 0.5000 0.5000 0.0000
5 Cd 0.5000 0.5000 0.5000



3.
# KBaCd3

Crystalline KBaCd3 at its relaxed geometry (GGA-PBE, Alexandria via LeMat-Bulk).

- ΔE_f: 1.3 eV per formula unit
- Total magnetization: 0.00 Bohr magnetons per cell
- Relative energy among the computed polymorphs: 472.3 meV per atom
- Space group: Pm-3m, No. 221

Unit cell a=6.0206 b=6.0206 c=6.0206 alpha=90.00 beta=90.00 gamma=90.00
Positions (direct):
1 K 0.0000 0.0000 0.0000
2 Ba 0.5000 0.5000 0.5000
3 Cd 0.0000 0.0000 0.5000
4 Cd 0.0000 0.5000 0.0000
5 Cd 0.5000 0.0000 0.0000



4.
# KBaCd2

Crystalline KBaCd2 at its relaxed geometry (GGA-PBE, Alexandria via LeMat-Bulk).

- ΔE_f: -0.6 eV per formula unit
- Total magnetization: 0.00 Bohr magnetons per cell
- Relative energy among the computed polymorphs: 16.5 meV per atom
- Space group: P4/mmm, No. 123

Unit cell a=4.2280 b=4.2280 c=8.7408 alpha=90.00 beta=90.00 gamma=90.00
Positions (direct):
1 K 0.0000 0.0000 0.0000
2 Ba 0.0000 0.0000 0.5000
3 Cd 0.5000 0.5000 0.2649
4 Cd 0.5000 0.5000 0.7351



5.
# KBa2Cd

Crystalline KBa2Cd at its relaxed geometry (GGA-PBE, Alexandria via LeMat-Bulk).

- ΔE_f: 0.1 eV per formula unit
- Total magnetization: 0.95 Bohr magnetons per cell
- Space group: Cmmm, No. 65

Unit cell a=6.3012 b=6.3012 c=4.8909 alpha=90.00 beta=90.00 gamma=90.15
Positions (direct):
1 K 0.0000 0.0000 0.0000
2 Ba 0.0000 0.5000 0.5000
3 Ba 0.5000 0.0000 0.5000
4 Cd 0.5000 0.5000 0.0000



6.
# KBaCd2

Crystalline KBaCd2 at its relaxed geometry (GGA-PBE, Alexandria via LeMat-Bulk).

- ΔE_f: -0.3 eV per formula unit
- Total magnetization: 0.00 Bohr magnetons per cell
- Relative energy among the computed polymorphs: 75.3 meV per atom
- Space group: P4mm, No. 99

Unit cell a=4.1744 b=4.1744 c=9.4476 alpha=90.00 beta=90.00 gamma=90.00
Positions (direct):
1 K 0.0000 0.0000 0.0000
2 Ba 0.5000 0.5000 0.3935
3 Cd 0.0000 0.0000 0.6133
4 Cd 0.5000 0.5000 0.7619



7.
# KBa3Cd2

Crystalline KBa3Cd2 at its relaxed geometry (GGA-PBE, Alexandria via LeMat-Bulk).

- ΔE_f: -1.3 eV per formula unit
- Total magnetization: 0.00 Bohr magnetons per cell
- Space group: P4/mmm, No. 123

Unit cell a=4.2937 b=4.2937 c=15.5708 alpha=90.00 beta=90.00 gamma=90.00
Positions (direct):
1 K 0.0000 0.0000 0.0000
2 Ba 0.5000 0.5000 0.2322
3 Ba 0.5000 0.5000 0.5000
4 Ba 0.5000 0.5000 0.7678
5 Cd 0.0000 0.0000 0.3583
6 Cd 0.0000 0.0000 0.6417



8.
# K3BaCd

Crystalline K3BaCd at its relaxed geometry (GGA-PBE, Alexandria via LeMat-Bulk).

- ΔE_f: 2.9 eV per formula unit
- Total magnetization: 1.01 Bohr magnetons per cell
- Relative energy among the computed polymorphs: 435.7 meV per atom
- Space group: Pm-3m, No. 221

Unit cell a=8.4366 b=8.4366 c=8.4366 alpha=90.00 beta=90.00 gamma=90.00
Positions (direct):
1 K 0.0000 0.0000 0.5000
2 K 0.0000 0.5000 0.0000
3 K 0.5000 0.0000 0.0000
4 Ba 0.0000 0.0000 0.0000
5 Cd 0.5000 0.5000 0.5000



9.
# KBaCd2

Crystalline KBaCd2 at its relaxed geometry (GGA-PBE, Alexandria via LeMat-Bulk).

- ΔE_f: -0.5 eV per formula unit
- Total magnetization: 0.00 Bohr magnetons per cell
- Relative energy among the computed polymorphs: 33.6 meV per atom
- Space group: Cm, No. 8

Unit cell a=6.9004 b=6.9004 c=5.9119 alpha=114.19 beta=114.19 gamma=36.79
Positions (direct):
1 K 0.0000 0.0000 0.0000
2 Ba 0.2031 0.2031 0.6954
3 Cd 0.4397 0.4397 0.4407
4 Cd 0.7689 0.7689 0.2592



10.
# K2BaCd2

Crystalline K2BaCd2 at its relaxed geometry (GGA-PBE, Alexandria via LeMat-Bulk).

- ΔE_f: 0.1 eV per formula unit
- Total magnetization: 0.00 Bohr magnetons per cell
- Relative energy among the computed polymorphs: 82.2 meV per atom
- Space group: P4/mbm, No. 127

Unit cell a=10.0240 b=10.0240 c=4.0976 alpha=90.00 beta=90.00 gamma=90.00
Positions (direct):
1 K 0.1212 0.3788 0.0000
2 K 0.3788 0.8788 0.0000
3 K 0.6212 0.1212 0.0000
4 K 0.8788 0.6212 0.0000
5 Ba 0.0000 0.0000 0.0000
6 Ba 0.5000 0.5000 0.0000
7 Cd 0.1822 0.6822 0.5000
8 Cd 0.3178 0.1822 0.5000
9 Cd 0.6822 0.8178 0.5000
10 Cd 0.8178 0.3178 0.5000



11.
# KBa2Cd6

Crystalline KBa2Cd6 at its relaxed geometry (GGA-PBE, Alexandria via LeMat-Bulk).

- ΔE_f: -2.1 eV per formula unit
- Total magnetization: 0.00 Bohr magnetons per cell
- Space group: P6/mmm, No. 191

Unit cell a=8.9954 b=8.9954 c=4.3673 alpha=90.00 beta=90.00 gamma=120.00
Positions (direct):
1 K 0.0000 0.0000 0.0000
2 Ba 0.3333 0.6667 0.0000
3 Ba 0.6667 0.3333 0.0000
4 Cd 0.0000 0.3312 0.5000
5 Cd 0.0000 0.6688 0.5000
6 Cd 0.3312 0.0000 0.5000
7 Cd 0.3312 0.3312 0.5000
8 Cd 0.6688 0.0000 0.5000
9 Cd 0.6688 0.6688 0.5000



12.
# KBa2Cd

Crystalline KBa2Cd at its relaxed geometry (GGA-PBE, Alexandria via LeMat-Bulk).

- ΔE_f: -0.2 eV per formula unit
- Total magnetization: 0.61 Bohr magnetons per cell
- Space group: R-3m, No. 166

Unit cell a=12.8505 b=12.8505 c=12.8505 alpha=20.62 beta=20.62 gamma=20.62
Positions (direct):
1 K 0.0000 0.0000 0.0000
2 Ba 0.2292 0.2292 0.2292
3 Ba 0.7708 0.7708 0.7708
4 Cd 0.5000 0.5000 0.5000



13.
# KBaCd

Crystalline KBaCd at its relaxed geometry (GGA-PBE, Alexandria via LeMat-Bulk).

- ΔE_f: -0.3 eV per formula unit
- Total magnetization: 0.00 Bohr magnetons per cell
- Relative energy among the computed polymorphs: 78.9 meV per atom
- Space group: I4mm, No. 107

Unit cell a=8.4075 b=8.4075 c=8.4075 alpha=150.32 beta=150.32 gamma=42.48
Positions (direct):
1 K 0.0000 0.0000 0.0000
2 Ba 0.2668 0.2668 0.0000
3 Cd 0.6471 0.6471 0.0000



14.
# K2BaCd9

Crystalline K2BaCd9 at its relaxed geometry (GGA-PBE, Alexandria via LeMat-Bulk).

- ΔE_f: -1.8 eV per formula unit
- Total magnetization: 0.00 Bohr magnetons per cell
- Space group: R-3m, No. 166

Unit cell a=11.0019 b=11.0019 c=11.0019 alpha=32.68 beta=32.68 gamma=32.68
Positions (direct):
1 K 0.1456 0.1456 0.1456
2 K 0.8544 0.8544 0.8544
3 Ba 0.0000 0.0000 0.0000
4 Cd 0.0793 0.5838 0.5838
5 Cd 0.3346 0.3346 0.3346
6 Cd 0.4162 0.4162 0.9207
7 Cd 0.4162 0.9207 0.4162
8 Cd 0.5000 0.5000 0.5000
9 Cd 0.5838 0.0793 0.5838
10 Cd 0.5838 0.5838 0.0793
11 Cd 0.6654 0.6654 0.6654
12 Cd 0.9207 0.4162 0.4162



15.
# KBaCd4

Crystalline KBaCd4 at its relaxed geometry (GGA-PBE, Alexandria via LeMat-Bulk).

- ΔE_f: -1.1 eV per formula unit
- Total magnetization: 0.00 Bohr magnetons per cell
- Relative energy among the computed polymorphs: 3.1 meV per atom
- Space group: F-43m, No. 216

Unit cell a=6.3958 b=6.3958 c=6.3958 alpha=60.00 beta=60.00 gamma=60.00
Positions (direct):
1 K 0.0000 0.0000 0.0000
2 Ba 0.7500 0.7500 0.7500
3 Cd 0.3744 0.3744 0.3744
4 Cd 0.3744 0.3744 0.8767
5 Cd 0.3744 0.8767 0.3744
6 Cd 0.8767 0.3744 0.3744



16.
# KBaCd2

Crystalline KBaCd2 at its relaxed geometry (GGA-PBE, Alexandria via LeMat-Bulk).

- ΔE_f: -0.1 eV per formula unit
- Total magnetization: 0.00 Bohr magnetons per cell
- Relative energy among the computed polymorphs: 141.4 meV per atom
- Space group: C2/m, No. 12

Unit cell a=4.8506 b=4.8506 c=9.7549 alpha=100.37 beta=100.37 gamma=52.20
Positions (direct):
1 K 0.0000 0.0000 0.0000
2 Ba 0.5000 0.5000 0.5000
3 Cd 0.2468 0.2468 0.7435
4 Cd 0.7532 0.7532 0.2565



17.
# KBaCd

Crystalline KBaCd at its relaxed geometry (GGA-PBE, Alexandria via LeMat-Bulk).

- ΔE_f: 0.0 eV per formula unit
- Total magnetization: 0.00 Bohr magnetons per cell
- Relative energy among the computed polymorphs: 162.0 meV per atom
- Space group: F-43m, No. 216

Unit cell a=6.0231 b=6.0231 c=6.0231 alpha=60.00 beta=60.00 gamma=60.00
Positions (direct):
1 K 0.0000 0.0000 0.0000
2 Ba 0.5000 0.5000 0.5000
3 Cd 0.7500 0.7500 0.7500



18.
# KBaCd2

Crystalline KBaCd2 at its relaxed geometry (GGA-PBE, Alexandria via LeMat-Bulk).

- ΔE_f: 0.2 eV per formula unit
- Total magnetization: 0.00 Bohr magnetons per cell
- Relative energy among the computed polymorphs: 211.6 meV per atom
- Space group: I-42d, No. 122

Unit cell a=7.7145 b=7.7145 c=7.7145 alpha=104.33 beta=104.33 gamma=120.34
Positions (direct):
1 K 0.0000 0.0000 0.0000
2 K 0.7500 0.2500 0.5000
3 Ba 0.2500 0.7500 0.5000
4 Ba 0.5000 0.5000 0.0000
5 Cd 0.1185 0.6250 0.9935
6 Cd 0.3750 0.3685 0.4935
7 Cd 0.6315 0.1250 0.0065
8 Cd 0.8750 0.8815 0.5065



19.
# KBaCd2

Crystalline KBaCd2 at its relaxed geometry (GGA-PBE, Alexandria via LeMat-Bulk).

- ΔE_f: 0.0 eV per formula unit
- Total magnetization: 0.00 Bohr magnetons per cell
- Relative energy among the computed polymorphs: 152.3 meV per atom
- Space group: P2/m, No. 10

Unit cell a=5.9816 b=4.0666 c=7.1545 alpha=90.00 beta=90.51 gamma=90.00
Positions (direct):
1 K 0.0000 0.0000 0.0000
2 Ba 0.5000 0.5000 0.5000
3 Cd 0.0000 0.0000 0.5000
4 Cd 0.5000 0.5000 0.0000



20.
# KBaCd2

Crystalline KBaCd2 at its relaxed geometry (GGA-PBE, Alexandria via LeMat-Bulk).

- ΔE_f: -0.3 eV per formula unit
- Total magnetization: 0.00 Bohr magnetons per cell
- Relative energy among the computed polymorphs: 95.2 meV per atom
- Space group: F-43m, No. 216

Unit cell a=5.7533 b=5.7533 c=5.7533 alpha=60.00 beta=60.00 gamma=60.00
Positions (direct):
1 K 0.0000 0.0000 0.0000
2 Ba 0.7500 0.7500 0.7500
3 Cd 0.2500 0.2500 0.2500
4 Cd 0.5000 0.5000 0.5000



21.
# KBa4Cd5

Crystalline KBa4Cd5 at its relaxed geometry (GGA-PBE, Alexandria via LeMat-Bulk).

- ΔE_f: -2.5 eV per formula unit
- Total magnetization: 0.00 Bohr magnetons per cell
- Space group: P4/mmm, No. 123

Unit cell a=4.2226 b=4.2226 c=21.7996 alpha=90.00 beta=90.00 gamma=90.00
Positions (direct):
1 K 0.0000 0.0000 0.0000
2 Ba 0.0000 0.0000 0.2028
3 Ba 0.0000 0.0000 0.4016
4 Ba 0.0000 0.0000 0.5984
5 Ba 0.0000 0.0000 0.7972
6 Cd 0.5000 0.5000 0.1068
7 Cd 0.5000 0.5000 0.3011
8 Cd 0.5000 0.5000 0.5000
9 Cd 0.5000 0.5000 0.6989
10 Cd 0.5000 0.5000 0.8932



22.
# KBaCd

Crystalline KBaCd at its relaxed geometry (GGA-PBE, Alexandria via LeMat-Bulk).

- ΔE_f: 0.1 eV per formula unit
- Total magnetization: 0.00 Bohr magnetons per cell
- Relative energy among the computed polymorphs: 204.5 meV per atom
- Space group: P3m1, No. 156

Unit cell a=6.0419 b=6.0419 c=4.3779 alpha=90.00 beta=90.00 gamma=120.00
Positions (direct):
1 K 0.0000 0.0000 0.0000
2 Ba 0.6667 0.3333 0.4383
3 Cd 0.3333 0.6667 0.8283



23.
# KBa2Cd

Crystalline KBa2Cd at its relaxed geometry (GGA-PBE, Alexandria via LeMat-Bulk).

- ΔE_f: 0.2 eV per formula unit
- Total magnetization: 0.69 Bohr magnetons per cell
- Space group: I-4m2, No. 119

Unit cell a=7.5256 b=7.5256 c=7.5256 alpha=137.00 beta=137.00 gamma=62.45
Positions (direct):
1 K 0.0000 0.0000 0.0000
2 Ba 0.2500 0.7500 0.5000
3 Ba 0.5000 0.5000 0.0000
4 Cd 0.7500 0.2500 0.5000



24.
# KBaCd3

Crystalline KBaCd3 at its relaxed geometry (GGA-PBE, Alexandria via LeMat-Bulk).

- ΔE_f: 1.4 eV per formula unit
- Total magnetization: 0.00 Bohr magnetons per cell
- Relative energy among the computed polymorphs: 490.1 meV per atom
- Space group: Pm-3m, No. 221

Unit cell a=6.5637 b=6.5637 c=6.5637 alpha=90.00 beta=90.00 gamma=90.00
Positions (direct):
1 K 0.0000 0.0000 0.0000
2 Ba 0.5000 0.5000 0.5000
3 Cd 0.0000 0.5000 0.5000
4 Cd 0.5000 0.0000 0.5000
5 Cd 0.5000 0.5000 0.0000



25.
# KBa2Cd

Crystalline KBa2Cd at its relaxed geometry (GGA-PBE, Alexandria via LeMat-Bulk).

- ΔE_f: 0.3 eV per formula unit
- Total magnetization: 0.00 Bohr magnetons per cell
- Space group: F-43m, No. 216

Unit cell a=6.3530 b=6.3530 c=6.3530 alpha=60.00 beta=60.00 gamma=60.00
Positions (direct):
1 K 0.0000 0.0000 0.0000
2 Ba 0.5000 0.5000 0.5000
3 Ba 0.7500 0.7500 0.7500
4 Cd 0.2500 0.2500 0.2500



26.
# KBaCd

Crystalline KBaCd at its relaxed geometry (GGA-PBE, Alexandria via LeMat-Bulk).

- ΔE_f: -0.5 eV per formula unit
- Total magnetization: 0.00 Bohr magnetons per cell
- Relative energy among the computed polymorphs: 0.0 meV per atom
- Space group: Cmcm, No. 63

Unit cell a=12.5939 b=12.5939 c=5.2083 alpha=90.00 beta=90.00 gamma=158.32
Positions (direct):
1 K 0.1929 0.8071 0.7500
2 K 0.8071 0.1929 0.2500
3 Ba 0.4255 0.5745 0.7500
4 Ba 0.5745 0.4255 0.2500
5 Cd 0.0362 0.9638 0.7500
6 Cd 0.9638 0.0362 0.2500



27.
# KBa3Cd

Crystalline KBa3Cd at its relaxed geometry (GGA-PBE, Alexandria via LeMat-Bulk).

- ΔE_f: 3.2 eV per formula unit
- Total magnetization: 2.66 Bohr magnetons per cell
- Relative energy among the computed polymorphs: 662.4 meV per atom
- Space group: Pm-3m, No. 221

Unit cell a=6.9349 b=6.9349 c=6.9349 alpha=90.00 beta=90.00 gamma=90.00
Positions (direct):
1 K 0.0000 0.0000 0.0000
2 Ba 0.0000 0.0000 0.5000
3 Ba 0.0000 0.5000 0.0000
4 Ba 0.5000 0.0000 0.0000
5 Cd 0.5000 0.5000 0.5000



28.
# KBaCd3

Crystalline KBaCd3 at its relaxed geometry (GGA-PBE, Alexandria via LeMat-Bulk).

- ΔE_f: -1.0 eV per formula unit
- Total magnetization: 0.00 Bohr magnetons per cell
- Relative energy among the computed polymorphs: 0.0 meV per atom
- Space group: Cmcm, No. 63

Unit cell a=15.8884 b=15.8884 c=5.2047 alpha=90.00 beta=90.00 gamma=163.69
Positions (direct):
1 K 0.2089 0.7911 0.7500
2 K 0.7911 0.2089 0.2500
3 Ba 0.0699 0.9301 0.2500
4 Ba 0.9301 0.0699 0.7500
5 Cd 0.3362 0.6638 0.7500
6 Cd 0.3814 0.6186 0.2500
7 Cd 0.4770 0.5230 0.2500
8 Cd 0.5230 0.4770 0.7500
9 Cd 0.6186 0.3814 0.7500
10 Cd 0.6638 0.3362 0.2500